## NbAgS3 (PBE)

Data for an optimized crystal structure of NbAgS3.

abc: 4.821 4.821 4.821
angles: 90.00 90.00 90.00
Atoms (fractional coordinates):
Nb 0.000 0.000 0.000
Ag 0.500 0.500 0.500
S 0.000 0.000 0.500
S 0.000 0.500 0.000
S 0.500 0.000 0.000

Uncorrected formation energy ... -0.19 eV/atom
Space group ... Pm-3m (221)
Total DFT energy (no corrections) ... -26.2 eV for the cell shown



## Nb4AgS8 (PBE)

Data for an optimized crystal structure of Nb4AgS8.

abc: 7.197 7.197 7.197
angles: 60.00 60.00 60.00
Atoms (fractional coordinates):
Nb 0.390 0.390 0.390
Nb 0.390 0.390 0.831
Nb 0.390 0.831 0.390
Nb 0.831 0.390 0.390
Ag 0.000 0.000 0.000
S 0.112 0.629 0.629
S 0.138 0.138 0.138
S 0.138 0.138 0.585
S 0.138 0.585 0.138
S 0.585 0.138 0.138
S 0.629 0.112 0.629
S 0.629 0.629 0.112
S 0.629 0.629 0.629

Uncorrected formation energy ... -0.86 eV/atom
Space group ... F-43m (216)
Total DFT energy (no corrections) ... -87.4 eV for the cell shown
Energy above the most stable polymorph in this dataset ... 0.087 eV/atom



## NbAgS3 (PBE)

Data for an optimized crystal structure of NbAgS3.

abc: 3.306 7.230 9.073
angles: 87.66 89.52 76.93
Atoms (fractional coordinates):
Nb 0.204 0.102 0.300
Nb 0.796 0.898 0.700
Ag 0.013 0.457 0.704
Ag 0.987 0.543 0.296
S 0.182 0.122 0.801
S 0.340 0.817 0.498
S 0.398 0.687 0.831
S 0.602 0.313 0.169
S 0.660 0.183 0.502
S 0.818 0.878 0.199

Uncorrected formation energy ... -0.59 eV/atom
Space group ... P-1 (2)
Total DFT energy (no corrections) ... -56.5 eV for the cell shown